Crystalline Cd2PbW at its relaxed geometry, computed with GGA-PBE.

a = 10.8720 Å, b = 2.9516 Å, c = 5.4596 Å
α = 90.00°, β = 99.71°, γ = 90.00°
Space group Cm (No. 8)
Asymmetric unit:
Cd (0.0000, 0.0000, 0.0000) [2 per cell]
Cd (0.2387, 0.0000, 0.8285) [2 per cell]
Pb (0.2942, 0.5000, 0.3512) [2 per cell]
W (0.0398, 0.5000, 0.5110) [2 per cell]

Values from the calculation:
E = -15.8 eV/f.u.

Crystalline Tb3Ho5N8 at its relaxed geometry, computed with GGA-PBE.

a = 6.9370 Å, b = 6.9370 Å, c = 16.9946 Å
α = 90.00°, β = 90.00°, γ = 120.00°
Space group R-3m (No. 166, hexagonal axes)
Asymmetric unit:
Tb (0.0000, 0.5000, 0.0000) [9 per cell]
Ho (0.0000, 0.0000, 0.0000) [3 per cell]
Ho (0.0000, 0.0000, 0.5000) [3 per cell]
Ho (0.0000, 0.5000, 0.5000) [9 per cell]
N (0.0000, 0.0000, 0.2490) [6 per cell]
N (0.0013, 0.5006, 0.7506) [18 per cell]

Values from the calculation:
E = -130.8 eV/f.u.

Crystalline LaMgGa at its relaxed geometry, computed with GGA-PBE.

a = 3.4930 Å, b = 3.4930 Å, c = 12.4646 Å
α = 90.00°, β = 90.00°, γ = 90.00°
Space group I4mm (No. 107)
Asymmetric unit:
La (0.0000, 0.0000, 0.0000) [2 per cell]
Mg (0.0000, 0.0000, 0.7080) [2 per cell]
Ga (0.0000, 0.0000, 0.3338) [2 per cell]

Values from the calculation:
E = -10.4 eV/f.u.

Crystalline Cs2KHg2F7 at its relaxed geometry, computed with GGA-PBE.

a = 6.6060 Å, b = 6.6057 Å, c = 12.3070 Å
α = 90.00°, β = 105.52°, γ = 90.00°
Space group C2/m (No. 12)
Asymmetric unit:
Cs (0.1826, 0.0000, 0.3640) [4 per cell]
K (0.0000, 0.0000, 0.0000) [2 per cell]
Hg (0.0967, 0.5000, 0.1924) [4 per cell]
F (0.0000, 0.5000, 0.0000) [2 per cell]
F (0.1581, 0.2495, 0.8184) [8 per cell]
F (0.1931, 0.5000, 0.3857) [4 per cell]

Values from the calculation:
E = -41.8 eV/f.u.

Crystalline Zr2ScCo at its relaxed geometry, computed with GGA-PBE.

a = 3.3982 Å, b = 4.6862 Å, c = 4.8435 Å
α = 90.00°, β = 90.00°, γ = 90.00°
Space group Pmmm (No. 47)
Asymmetric unit:
Zr (0.0000, 0.0000, 0.0000) [1 per cell]
Zr (0.5000, 0.5000, 0.0000) [1 per cell]
Sc (0.0000, 0.5000, 0.5000) [1 per cell]
Co (0.5000, 0.0000, 0.5000) [1 per cell]

Values from the calculation:
E = -30.2 eV/f.u.

Crystalline CoSiTc at its relaxed geometry, computed with GGA-PBE.

a = 2.6990 Å, b = 2.6990 Å, c = 5.9473 Å
α = 90.00°, β = 90.00°, γ = 120.00°
Space group P3m1 (No. 156)
Asymmetric unit:
Co (0.0000, 0.0000, 0.0000) [1 per cell]
Si (0.6667, 0.3333, 0.2993) [1 per cell]
Tc (0.3333, 0.6667, 0.6520) [1 per cell]

Values from the calculation:
E = -23.3 eV/f.u.